# 1
DFT (PBE) results for LiPrNpO5 after structural relaxation.

Lattice parameters (Å, degrees): 5.9642 5.9642 8.1333 107.39 107.39 104.78
Closest atoms and distances in Å follow each position.
Atoms (fractional coordinates):
Li1 0.3104 0.6896 0.7500  4 O 1.96-2.07
O1 0.6607 0.7361 0.8889  1 Np 1.95, 1 Li 1.96
Li2 0.6896 0.3104 0.2500  4 O 1.96-2.07
O2 0.3393 0.2639 0.1111  1 Np 1.95, 1 Li 1.96
Pr1 0.6806 0.3194 0.7500  7 O 2.39-2.60
O3 0.6938 0.1196 0.4244  1 Li 2.07, 1 Np 2.12
O4 0.0666 0.9334 0.2500  2 Np 2.13
Np1 0.0000 0.0000 0.5000  6 O 1.95-2.13
O5 0.2639 0.3393 0.6111  1 Np 1.95, 1 Li 1.96
Pr2 0.3194 0.6806 0.2500  7 O 2.39-2.60
Np2 0.0000 0.0000 0.0000  6 O 1.95-2.13
O6 0.7361 0.6607 0.3889  1 Np 1.95, 1 Li 1.96
O7 0.1196 0.6938 0.9244  1 Li 2.07, 1 Np 2.12
O8 0.3062 0.8804 0.5756  1 Li 2.07, 1 Np 2.12
O9 0.9334 0.0666 0.7500  2 Np 2.13
O10 0.8804 0.3062 0.0756  1 Li 2.07, 1 Np 2.12

Output
symmetry = C2/c
N(E_F) = 0.19 states/eV/cell
electronic total energy = -8.424 eV per atom

---

# 2
DFT (PBE) results for NaZnIr2O8 after structural relaxation.

Lattice parameters (Å, degrees): 5.5997 5.5997 6.0785 90.00 90.00 120.00
Closest atoms and distances in Å follow each position.
Atoms (fractional coordinates):
O1 0.0642 0.3729 0.1392  1 Ir 1.93, 1 Zn 2.11
Zn1 0.0000 0.0000 0.0000  6 O 2.11
O2 0.6271 0.6912 0.1392  1 Ir 1.93, 1 Zn 2.11
Na1 0.0000 0.0000 0.5000  6 O 2.92, 2 Zn 3.04
Ir1 0.6667 0.3333 0.0428  4 O 1.79-1.93
O3 0.9358 0.6271 0.8608  1 Ir 1.93, 1 Zn 2.11
O4 0.6912 0.0642 0.8608  1 Ir 1.93, 1 Zn 2.11
O5 0.6667 0.3333 0.3375  1 Ir 1.79
O6 0.3333 0.6667 0.6625  1 Ir 1.79
O7 0.3729 0.3088 0.8608  1 Ir 1.93, 1 Zn 2.11
O8 0.3088 0.9358 0.1392  1 Ir 1.93, 1 Zn 2.11
Ir2 0.3333 0.6667 0.9572  4 O 1.79-1.93

Output
symmetry = P-3
N(E_F) = 5.71 states/eV/cell
electronic total energy = -5.629 eV per atom

---

# 3
DFT (PBE) results for Sc2TcHgAs after structural relaxation.

Lattice parameters (Å, degrees): 5.1720 5.0319 5.1720 90.00 90.00 90.00
Closest atoms and distances in Å follow each position.
Atoms (fractional coordinates):
Sc1 0.5000 0.0000 0.0000  2 Hg 2.59
Tc1 0.0000 0.5000 0.0000  2 Hg 2.52
As1 0.5000 0.5000 0.5000  8 Sc 3.61, 4 Tc 3.66
Sc2 0.0000 0.0000 0.5000  2 Hg 2.59
Hg1 0.0000 0.0000 0.0000  2 Tc 2.52, 4 Sc 2.59

Output
symmetry = P4/mmm
N(E_F) = 6.38 states/eV/cell
electronic total energy = -4.689 eV per atom

---

# 4
DFT (PBE) results for Tl2CuPd5 after structural relaxation.

Lattice parameters (Å, degrees): 5.8623 5.8623 5.7042 120.92 120.92 90.00
Closest atoms and distances in Å follow each position.
Atoms (fractional coordinates):
Pd1 0.7223 0.7224 0.4447  8 Pd 2.85, 4 Tl 2.93
Pd2 0.7220 0.7220 0.9442  6 Pd 2.85-2.93, 2 Cu 2.85, 4 Tl 2.85
Tl1 0.7221 0.2221 0.4443  10 Pd 2.85-2.93, 2 Cu 2.93
Pd3 0.7220 0.2222 0.9442  6 Pd 2.85-2.93, 4 Tl 2.85, 2 Cu 2.85
Cu1 0.2220 0.2220 0.4439  8 Pd 2.85, 4 Tl 2.93
Pd4 0.2222 0.7220 0.9442  6 Pd 2.85-2.93, 4 Tl 2.85, 2 Cu 2.85
Pd5 0.2222 0.2222 0.9442  6 Pd 2.85-2.93, 4 Tl 2.85, 2 Cu 2.85
Tl2 0.2221 0.7221 0.4443  10 Pd 2.85-2.93, 2 Cu 2.93

Output
symmetry = I4/mmm
N(E_F) = 4.21 states/eV/cell
electronic total energy = -4.519 eV per atom

---

# 5
DFT (PBE) results for Cs3Pr3CrSe8 after structural relaxation.

Lattice parameters (Å, degrees): 8.4869 8.4883 9.9144 115.36 90.00 119.99
Closest atoms and distances in Å follow each position.
Atoms (fractional coordinates):
Se1 0.7636 0.9700 0.6750  1 Cr 2.64
Cs1 0.0000 0.5000 0.0000  6 Se 3.59-3.65
Se2 0.2055 0.4110 0.6739  1 Cr 2.64
Cs2 0.0000 0.0000 0.0000  6 Se 3.59-3.64
Se3 0.2682 0.5363 0.3050  3 Pr 2.97
Pr1 0.5000 0.5000 0.5000  6 Se 2.97-3.01
Se4 0.2064 0.9700 0.6750  1 Cr 2.64
Pr2 0.0000 0.5000 0.5000  6 Se 2.97-3.01
Pr3 0.5000 0.0000 0.5000  6 Se 2.97-3.00
Se5 0.7945 0.5890 0.3261  1 Cr 2.64
Cs3 0.5000 0.5000 0.0000  6 Se 3.59-3.65
Cr1 0.0000 0.0000 0.5000  6 Se 2.64
Se6 0.7936 0.0300 0.3250  1 Cr 2.64
Se7 0.7318 0.4637 0.6950  3 Pr 2.97
Se8 0.2364 0.0300 0.3250  1 Cr 2.64

Output
symmetry = C2/m
N(E_F) = 11.59 states/eV/cell
electronic total energy = -5.005 eV per atom

---

# 6
DFT (PBE) results for Ca2CoCu after structural relaxation.

Lattice parameters (Å, degrees): 4.9045 4.9045 4.9045 60.00 60.00 60.00
Closest atoms and distances in Å follow each position.
Atoms (fractional coordinates):
Co1 0.0000 0.0000 0.0000  8 Ca 3.00
Ca1 0.7500 0.7500 0.7500  4 Cu 3.00, 4 Co 3.00
Cu1 0.5000 0.5000 0.5000  8 Ca 3.00
Ca2 0.2500 0.2500 0.2500  4 Co 3.00, 4 Cu 3.00

Output
symmetry = Fm-3m
N(E_F) = 0.26 states/eV/cell
E above lowest polymorph = 3.26 kcal/mol of atoms
electronic total energy = -3.580 eV per atom

---

Sequential volume output: 243.88; 165.07; 134.60; 134.66; 537.65; 83.42 Å³ per cell